Entry 1:
# MnBeZn (GGA-PBE, optimized geometry)
# polymorph energy (0 for the lowest one): 237 meV per atom
data_MnBeZn
_chemical_formula_sum 'Mn4 Be4 Zn4'
_symmetry_space_group_name_H-M 'F -4 3 m'
_symmetry_Int_Tables_number 216
_symmetry_space_group_name_Hall 'F -4 2 3'
_cell_length_a 5.391
_cell_length_b 5.391
_cell_length_c 5.391
_cell_angle_alpha 90.00
_cell_angle_beta 90.00
_cell_angle_gamma 90.00
loop_
_atom_site_label
_atom_site_type_symbol
_atom_site_fract_x
_atom_site_fract_y
_atom_site_fract_z
_atom_site_occupancy
Mn1 Mn 0.000 0.000 0.000 1
Be1 Be 0.250 0.250 0.750 1
Zn1 Zn 0.000 0.000 0.500 1



Entry 2:
# Mn2Be2Zn (GGA-PBE, optimized geometry)
# polymorph energy (0 for the lowest one): 0 meV per atom
data_Mn2Be2Zn
_chemical_formula_sum 'Mn4 Be4 Zn2'
_symmetry_space_group_name_H-M 'P 4/m b m'
_symmetry_Int_Tables_number 127
_symmetry_space_group_name_Hall '-P 4 2ab'
_cell_length_a 6.184
_cell_length_b 6.184
_cell_length_c 2.794
_cell_angle_alpha 90.00
_cell_angle_beta 90.00
_cell_angle_gamma 90.00
loop_
_atom_site_label
_atom_site_type_symbol
_atom_site_fract_x
_atom_site_fract_y
_atom_site_fract_z
_atom_site_occupancy
Mn1 Mn 0.174 0.326 0.000 1
Be1 Be 0.120 0.620 0.500 1
Zn1 Zn 0.000 0.000 0.500 1



Entry 3:
# Mn2BeZn (GGA-PBE, optimized geometry)
# polymorph energy (0 for the lowest one): 0 meV per atom
data_Mn2BeZn
_chemical_formula_sum 'Mn2 Be1 Zn1'
_symmetry_space_group_name_H-M 'P 4 m m'
_symmetry_Int_Tables_number 99
_cell_length_a 2.722
_cell_length_b 2.722
_cell_length_c 5.858
_cell_angle_alpha 90.00
_cell_angle_beta 90.00
_cell_angle_gamma 90.00
loop_
_symmetry_equiv_pos_as_xyz
'x,y,z'
'-y,x,z'
'-x,-y,z'
'y,-x,z'
'-x,y,z'
'y,x,z'
'x,-y,z'
'-y,-x,z'
loop_
_atom_site_label
_atom_site_type_symbol
_atom_site_fract_x
_atom_site_fract_y
_atom_site_fract_z
_atom_site_occupancy
Mn1 Mn 0.000 0.000 0.000 1
Mn2 Mn 0.500 0.500 0.213 1
Be1 Be 0.500 0.500 0.775 1
Zn1 Zn 0.000 0.000 0.519 1



Entry 4:
# MnBeZn (GGA-PBE, optimized geometry)
# polymorph energy (0 for the lowest one): 582 meV per atom
data_MnBeZn
_chemical_formula_sum 'Mn4 Be4 Zn4'
_symmetry_space_group_name_H-M 'F -4 3 m'
_symmetry_Int_Tables_number 216
_symmetry_space_group_name_Hall 'F -4 2 3'
_cell_length_a 5.591
_cell_length_b 5.591
_cell_length_c 5.591
_cell_angle_alpha 90.00
_cell_angle_beta 90.00
_cell_angle_gamma 90.00
loop_
_atom_site_label
_atom_site_type_symbol
_atom_site_fract_x
_atom_site_fract_y
_atom_site_fract_z
_atom_site_occupancy
Mn1 Mn 0.000 0.000 0.000 1
Be1 Be 0.250 0.250 0.750 1
Zn1 Zn 0.250 0.250 0.250 1



Entry 5:
# Mn2Be2Zn (GGA-PBE, optimized geometry)
# polymorph energy (0 for the lowest one): 405 meV per atom
data_Mn2Be2Zn
_chemical_formula_sum 'Mn4 Be4 Zn2'
_symmetry_space_group_name_H-M 'I 4/m m m'
_symmetry_Int_Tables_number 139
_symmetry_space_group_name_Hall '-I 4 2'
_cell_length_a 2.806
_cell_length_b 2.806
_cell_length_c 14.702
_cell_angle_alpha 90.00
_cell_angle_beta 90.00
_cell_angle_gamma 90.00
loop_
_atom_site_label
_atom_site_type_symbol
_atom_site_fract_x
_atom_site_fract_y
_atom_site_fract_z
_atom_site_occupancy
Mn1 Mn 0.000 0.000 0.117 1
Be1 Be 0.000 0.500 0.250 1
Zn1 Zn 0.000 0.000 0.500 1



Entry 6:
# Mn2BeZn (GGA-PBE, optimized geometry)
# polymorph energy (0 for the lowest one): 120 meV per atom
data_Mn2BeZn
_chemical_formula_sum 'Mn4 Be2 Zn2'
_symmetry_space_group_name_H-M 'C 1 m 1'
_symmetry_Int_Tables_number 8
_cell_length_a 8.108
_cell_length_b 2.557
_cell_length_c 4.471
_cell_angle_alpha 90.00
_cell_angle_beta 98.93
_cell_angle_gamma 90.00
loop_
_symmetry_equiv_pos_as_xyz
'x,y,z'
'x,-y,z'
'x+1/2,y+1/2,z'
'x+1/2,-y+1/2,z'
loop_
_atom_site_label
_atom_site_type_symbol
_atom_site_fract_x
_atom_site_fract_y
_atom_site_fract_z
_atom_site_occupancy
Mn1 Mn 0.000 0.000 0.000 1
Mn2 Mn 0.246 0.000 0.798 1
Be1 Be 0.239 0.500 0.271 1
Zn1 Zn 0.491 0.000 0.491 1



Entry 7:
# Mn2BeZn (GGA-PBE, optimized geometry)
# polymorph energy (0 for the lowest one): 130 meV per atom
data_Mn2BeZn
_chemical_formula_sum 'Mn6 Be3 Zn3'
_symmetry_space_group_name_H-M 'R 3 m'
_symmetry_Int_Tables_number 160
_symmetry_space_group_name_Hall 'R 3 -2"'
_cell_length_a 2.5082
_cell_length_b 2.5082
_cell_length_c 24.3902
_cell_angle_alpha 90.00
_cell_angle_beta 90.00
_cell_angle_gamma 120.00
loop_
_atom_site_label
_atom_site_type_symbol
_atom_site_fract_x
_atom_site_fract_y
_atom_site_fract_z
_atom_site_occupancy
Mn1 Mn 0.0000 0.0000 0.0000 1
Mn2 Mn 0.0000 0.0000 0.2569 1
Be1 Be 0.0000 0.0000 0.7426 1
Zn1 Zn 0.0000 0.0000 0.4984 1



Entry 8:
# Mn2BeZn (GGA-PBE, optimized geometry)
# polymorph energy (0 for the lowest one): 203 meV per atom
data_Mn2BeZn
_chemical_formula_sum 'Mn4 Be2 Zn2'
_symmetry_space_group_name_H-M 'C 1 2/m 1'
_symmetry_Int_Tables_number 12
_cell_length_a 4.758
_cell_length_b 7.997
_cell_length_c 2.447
_cell_angle_alpha 90.00
_cell_angle_beta 107.15
_cell_angle_gamma 90.00
loop_
_symmetry_equiv_pos_as_xyz
'x,y,z'
'-x,-y,-z'
'-x,y,-z'
'x,-y,z'
'x+1/2,y+1/2,z'
'-x+1/2,-y+1/2,-z'
'-x+1/2,y+1/2,-z'
'x+1/2,-y+1/2,z'
loop_
_atom_site_label
_atom_site_type_symbol
_atom_site_fract_x
_atom_site_fract_y
_atom_site_fract_z
_atom_site_occupancy
Mn1 Mn 0.250 0.250 0.000 1
Be1 Be 0.000 0.000 0.500 1
Zn1 Zn 0.000 0.500 0.500 1



Entry 9:
# MnBeZn (GGA-PBE, optimized geometry)
# polymorph energy (0 for the lowest one): 154 meV per atom
data_MnBeZn
_chemical_formula_sum 'Mn4 Be4 Zn4'
_symmetry_space_group_name_H-M 'I 4/m m m'
_symmetry_Int_Tables_number 139
_symmetry_space_group_name_Hall '-I 4 2'
_cell_length_a 3.414
_cell_length_b 3.414
_cell_length_c 12.316
_cell_angle_alpha 90.00
_cell_angle_beta 90.00
_cell_angle_gamma 90.00
loop_
_atom_site_label
_atom_site_type_symbol
_atom_site_fract_x
_atom_site_fract_y
_atom_site_fract_z
_atom_site_occupancy
Mn1 Mn 0.000 0.000 0.177 1
Be1 Be 0.000 0.000 0.361 1
Zn1 Zn 0.000 0.500 0.000 1



Entry 10:
ZrMnBeZn2: optimized geometry, GGA-PBE.

```
data_ZrMnBeZn2
_chemical_formula_sum 'Zr1 Mn1 Be1 Zn2'
_symmetry_space_group_name_H-M 'P 4/m m m'
_symmetry_Int_Tables_number 123
_symmetry_space_group_name_Hall '-P 4 2'
_cell_length_a 4.185
_cell_length_b 4.185
_cell_length_c 4.291
_cell_angle_alpha 90.00
_cell_angle_beta 90.00
_cell_angle_gamma 90.00
loop_
_atom_site_label
_atom_site_type_symbol
_atom_site_fract_x
_atom_site_fract_y
_atom_site_fract_z
_atom_site_occupancy
Zr1 Zr 0.000 0.000 0.000 1
Mn1 Mn 0.500 0.500 0.000 1
Be1 Be 0.500 0.500 0.500 1
Zn1 Zn 0.000 0.500 0.500 1
```



Entry 11:
ZrMn2Be: optimized geometry, GGA-PBE.

```
data_ZrMn2Be
_chemical_formula_sum 'Zr1 Mn2 Be1'
_symmetry_space_group_name_H-M 'P 1 m 1'
_symmetry_Int_Tables_number 6
_cell_length_a 2.950
_cell_length_b 3.843
_cell_length_c 4.801
_cell_angle_alpha 90.00
_cell_angle_beta 102.59
_cell_angle_gamma 90.00
loop_
_symmetry_equiv_pos_as_xyz
'x,y,z'
'x,-y,z'
loop_
_atom_site_label
_atom_site_type_symbol
_atom_site_fract_x
_atom_site_fract_y
_atom_site_fract_z
_atom_site_occupancy
Zr1 Zr 0.000 0.000 0.000 1
Mn1 Mn 0.259 0.500 0.610 1
Mn2 Mn 0.559 0.000 0.492 1
Be1 Be 0.597 0.500 0.229 1
```



Entry 12:
ZrMnBe10: optimized geometry, GGA-PBE.

```
data_ZrMnBe10
_chemical_formula_sum 'Zr1 Mn1 Be10'
_symmetry_space_group_name_H-M 'P m m m'
_symmetry_Int_Tables_number 47
_cell_length_a 3.476
_cell_length_b 4.378
_cell_length_c 7.615
_cell_angle_alpha 90.00
_cell_angle_beta 90.00
_cell_angle_gamma 90.00
loop_
_symmetry_equiv_pos_as_xyz
'x,y,z'
'-x,-y,-z'
'-x,-y,z'
'x,y,-z'
'x,-y,-z'
'-x,y,z'
'-x,y,-z'
'x,-y,z'
loop_
_atom_site_label
_atom_site_type_symbol
_atom_site_fract_x
_atom_site_fract_y
_atom_site_fract_z
_atom_site_occupancy
Zr1 Zr 0.000 0.000 0.000 1
Mn1 Mn 0.000 0.500 0.500 1
Be1 Be 0.000 0.000 0.347 1
Be2 Be 0.000 0.500 0.187 1
Be3 Be 0.500 0.000 0.500 1
Be4 Be 0.500 0.250 0.259 1
Be5 Be 0.500 0.500 0.000 1
```



no.,DFT formation energy (eV per formula unit)
1,0.80
2,-0.24
3,-0.11
4,1.84
5,1.79
6,0.37
7,0.41
8,0.70
9,0.55
10,0.84
11,0.37
12,-1.62